The following is a PBE calculation of a relaxed BeTlSe2 crystal, from the Alexandria database.

E_form (uncorrected)	-52	kJ/mol of formula units
energy above the lowest structure with this stoichiometry	0.2758	eV/atom

a b c (Å): 3.171 3.171 9.227
angles (deg): 90.00 90.00 90.00
Fractional positions:
Be 0.000 0.000 0.000
Tl 0.500 0.500 0.572
Se 0.000 0.000 0.238
Se 0.500 0.500 0.913

---

The following is a PBE calculation of a relaxed Ce2PrB9 crystal, from the Alexandria database.

formation energy from the elements	-0.178	eV/atom

a b c (Å): 9.933 9.933 9.933
angles (deg): 25.94 25.94 25.94
Fractional positions:
Ce 0.119 0.119 0.119
Ce 0.881 0.881 0.881
Pr 0.000 0.000 0.000
B 0.025 0.389 0.389
B 0.389 0.025 0.389
B 0.389 0.389 0.025
B 0.407 0.407 0.407
B 0.500 0.500 0.500
B 0.593 0.593 0.593
B 0.611 0.611 0.975
B 0.611 0.975 0.611
B 0.975 0.611 0.611

---

The following is a PBE calculation of a relaxed LiZrN2O crystal, from the Alexandria database.

E_form (uncorrected)	-44	kJ/mol of formula units

a b c (Å): 3.504 3.504 3.700
angles (deg): 90.00 90.00 90.00
Fractional positions:
Li 0.000 0.000 0.000
Zr 0.500 0.500 0.500
N 0.000 0.500 0.000
N 0.500 0.000 0.000
O 0.000 0.000 0.500

---

The following is a PBE calculation of a relaxed BeTl2W crystal, from the Alexandria database.

formation energy from the elements	0.677	eV/atom
energy above the lowest structure with this stoichiometry	0.0000	eV/atom

a b c (Å): 3.923 4.381 9.651
angles (deg): 90.00 90.00 90.00
Fractional positions:
Be 0.000 0.000 0.000
Be 0.500 0.500 0.000
Tl 0.000 0.000 0.589
Tl 0.000 0.500 0.239
Tl 0.500 0.000 0.239
Tl 0.500 0.500 0.589
W 0.000 0.500 0.852
W 0.500 0.000 0.852

---

The following is a PBE calculation of a relaxed NbIrPt crystal, from the Alexandria database.

formation energy from the elements	-0.535	eV/atom
energy above the lowest structure with this stoichiometry	0.0000	eV/atom

a b c (Å): 4.907 4.506 4.948
angles (deg): 90.00 119.18 90.00
Fractional positions:
Nb 0.177 0.250 0.191
Nb 0.823 0.750 0.809
Ir 0.168 0.750 0.500
Ir 0.832 0.250 0.500
Pt 0.492 0.250 0.838
Pt 0.508 0.750 0.162

---

The following is a PBE calculation of a relaxed NaTlSI2 crystal, from the Alexandria database.

E_form (uncorrected)	94	kJ/mol of formula units

a b c (Å): 5.947 5.947 10.043
angles (deg): 90.00 90.00 90.00
Fractional positions:
Na 0.000 0.000 0.000
Tl 0.000 0.000 0.500
S 0.500 0.500 0.000
I 0.000 0.500 0.500
I 0.500 0.000 0.500

---

What did the sixth record say?
The following is a PBE calculation of a relaxed NaTlSI2 crystal, from the Alexandria database.

E_form (uncorrected)	94	kJ/mol of formula units

a b c (Å): 5.947 5.947 10.043
angles (deg): 90.00 90.00 90.00
Fractional positions:
Na 0.000 0.000 0.000
Tl 0.000 0.000 0.500
S 0.500 0.500 0.000
I 0.000 0.500 0.500
I 0.500 0.000 0.500

---

Number 1 is which compound?
BeTlSe2